(1)
A plane-wave DFT calculation with GGA-PBE was carried out for a relaxed ZnSbPdI2 crystal.

* offset from the most stable computed form: 0.333 eV/atom
* E: -2.119 eV per atom
* uncorrected formation energy: 3.1 eV/f.u.

a b c (Å): 5.5591 5.5591 5.1940
angles (deg): 90.00 90.00 90.00
With the nearest neighbours (Å) after each atom.
Fractional positions:
Zn  0.0000  0.0000  0.0000  2 Sb 2.60, 4 I 2.78
Sb  0.0000  0.0000  0.5000  2 Zn 2.60
Pd  0.5000  0.5000  0.5000  8 I 3.80, 4 Sb 3.93
I  0.0000  0.5000  0.0000  2 Zn 2.78
I  0.5000  0.0000  0.0000  2 Zn 2.78

(2)
A plane-wave DFT calculation with GGA-PBE was carried out for a relaxed ZnSbPdI2 crystal.

* offset from the most stable computed form: 0.000 eV/atom
* E: -2.452 eV per atom
* uncorrected formation energy: 1.4 eV/f.u.

a b c (Å): 5.6699 5.6699 5.1299
angles (deg): 90.00 90.00 90.00
With the nearest neighbours (Å) after each atom.
Fractional positions:
Zn  0.0000  0.0000  0.0000  8 I 3.82, 4 Sb 4.01
Sb  0.5000  0.5000  0.0000  2 Pd 2.56
Pd  0.5000  0.5000  0.5000  2 Sb 2.56, 4 I 2.83
I  0.0000  0.5000  0.5000  2 Pd 2.83
I  0.5000  0.0000  0.5000  2 Pd 2.83

(3)
A plane-wave DFT calculation with GGA-PBE was carried out for a relaxed ZrSbPdI2 crystal.

* offset from the most stable computed form: 0.141 eV/atom
* E: -3.719 eV per atom
* uncorrected formation energy: 2.4 eV/f.u.

a b c (Å): 5.2955 5.2955 5.3990
angles (deg): 90.00 90.00 90.00
With the nearest neighbours (Å) after each atom.
Fractional positions:
Zr  0.0000  0.0000  0.0000  4 Sb 3.74, 8 I 3.78
Sb  0.5000  0.5000  0.0000  2 Pd 2.70
Pd  0.5000  0.5000  0.5000  4 I 2.65, 2 Sb 2.70
I  0.0000  0.5000  0.5000  2 Pd 2.65
I  0.5000  0.0000  0.5000  2 Pd 2.65

(4)
A plane-wave DFT calculation with GGA-PBE was carried out for a relaxed ZrSbPdI2 crystal.

* offset from the most stable computed form: 0.000 eV/atom
* E: -3.860 eV per atom
* uncorrected formation energy: 1.7 eV/f.u.

a b c (Å): 5.6419 5.6419 5.6773
angles (deg): 90.00 90.00 90.00
With the nearest neighbours (Å) after each atom.
Fractional positions:
Zr  0.0000  0.0000  0.0000  4 I 2.82, 2 Sb 2.84
Sb  0.0000  0.0000  0.5000  2 Zr 2.84
Pd  0.5000  0.5000  0.5000  4 Sb 3.99, 8 I 4.00
I  0.0000  0.5000  0.0000  2 Zr 2.82
I  0.5000  0.0000  0.0000  2 Zr 2.82

(5)
A plane-wave DFT calculation with GGA-PBE was carried out for a relaxed ScPdI3 crystal.

* offset from the most stable computed form: 0.232 eV/atom
* E: -3.246 eV per atom
* uncorrected formation energy: -0.1 eV/f.u.

a b c (Å): 5.4800 5.4800 5.4800
angles (deg): 90.00 90.00 90.00
With the nearest neighbours (Å) after each atom.
Fractional positions:
Sc  0.0000  0.0000  0.0000  12 I 3.87
Pd  0.5000  0.5000  0.5000  6 I 2.74
I  0.0000  0.5000  0.5000  2 Pd 2.74
I  0.5000  0.0000  0.5000  2 Pd 2.74
I  0.5000  0.5000  0.0000  2 Pd 2.74

(6)
A plane-wave DFT calculation with GGA-PBE was carried out for a relaxed ScPdI3 crystal.

* offset from the most stable computed form: 0.000 eV/atom
* E: -3.478 eV per atom
* uncorrected formation energy: -1.2 eV/f.u.

a b c (Å): 5.6961 5.6961 5.6961
angles (deg): 90.00 90.00 90.00
With the nearest neighbours (Å) after each atom.
Fractional positions:
Sc  0.0000  0.0000  0.0000  6 I 2.85
Pd  0.5000  0.5000  0.5000  12 I 4.03
I  0.0000  0.0000  0.5000  2 Sc 2.85
I  0.0000  0.5000  0.0000  2 Sc 2.85
I  0.5000  0.0000  0.0000  2 Sc 2.85

(7)
A plane-wave DFT calculation with GGA-PBE was carried out for a relaxed ScPdI2 crystal.

* offset from the most stable computed form: 0.039 eV/atom
* E: -3.939 eV per atom
* uncorrected formation energy: -1.1 eV/f.u.

a b c (Å): 5.1498 5.1498 5.1498
angles (deg): 60.00 60.00 60.00
With the nearest neighbours (Å) after each atom.
Fractional positions:
Sc  0.0000  0.0000  0.0000  8 I 3.15
Pd  0.5000  0.5000  0.5000  8 I 3.15
I  0.2500  0.2500  0.2500  4 Sc 3.15, 4 Pd 3.15
I  0.7500  0.7500  0.7500  4 Sc 3.15, 4 Pd 3.15

(8)
A plane-wave DFT calculation with GGA-PBE was carried out for a relaxed Sc3PdI crystal.

* offset from the most stable computed form: 0.000 eV/atom
* E: -5.366 eV per atom
* uncorrected formation energy: -1.1 eV/f.u.

a b c (Å): 5.1457 5.1457 5.1457
angles (deg): 90.00 90.00 90.00
With the nearest neighbours (Å) after each atom.
Fractional positions:
Sc  0.0000  0.0000  0.5000  2 Pd 2.57
Sc  0.0000  0.5000  0.0000  2 Pd 2.57
Sc  0.5000  0.0000  0.0000  2 Pd 2.57
Pd  0.0000  0.0000  0.0000  6 Sc 2.57
I  0.5000  0.5000  0.5000  12 Sc 3.64

(9)
A plane-wave DFT calculation with GGA-PBE was carried out for a relaxed Sc2PdI8 crystal.

* E: -3.601 eV per atom
* uncorrected formation energy: -9.4 eV/f.u.

a b c (Å): 8.7112 8.7112 9.3478
angles (deg): 103.15 103.15 58.23
With the nearest neighbours (Å) after each atom.
Fractional positions:
Sc  0.2159  0.2159  0.3115  4 I 2.66-2.79
Sc  0.7841  0.7841  0.6885  4 I 2.66-2.79
Pd  0.0000  0.0000  0.0000  4 I 2.66
I  0.1219  0.6602  0.8638  1 Pd 2.66, 1 Sc 2.79
I  0.1986  0.1986  0.5920  1 Sc 2.70
I  0.3398  0.8781  0.1362  1 Pd 2.66, 1 Sc 2.79
I  0.3863  0.3863  0.2878  1 Sc 2.66
I  0.6137  0.6137  0.7122  1 Sc 2.66
I  0.6602  0.1219  0.8638  1 Pd 2.66, 1 Sc 2.79
I  0.8014  0.8014  0.4080  1 Sc 2.70
I  0.8781  0.3398  0.1362  1 Pd 2.66, 1 Sc 2.79

(10)
A plane-wave DFT calculation with GGA-PBE was carried out for a relaxed ScPdI2 crystal.

* offset from the most stable computed form: 0.000 eV/atom
* E: -3.978 eV per atom
* uncorrected formation energy: -1.3 eV/f.u.

a b c (Å): 7.6674 7.6674 7.6674
angles (deg): 128.98 128.98 75.04
With the nearest neighbours (Å) after each atom.
Fractional positions:
Sc  0.0000  0.0000  0.0000  4 I 2.85
Sc  0.7500  0.2500  0.5000  4 I 2.85
Pd  0.2500  0.7500  0.5000  4 I 2.72
Pd  0.5000  0.5000  0.0000  4 I 2.72
I  0.1414  0.6250  0.0164  2 Pd 2.72, 2 Sc 2.85
I  0.3750  0.3914  0.5164  2 Pd 2.72, 2 Sc 2.85
I  0.6086  0.1250  0.9836  2 Pd 2.72, 2 Sc 2.85
I  0.8750  0.8586  0.4836  2 Pd 2.72, 2 Sc 2.85

(11)
A plane-wave DFT calculation with GGA-PBE was carried out for a relaxed ScSi2PdI crystal.

* E: -4.002 eV per atom
* uncorrected formation energy: 3.9 eV/f.u.

a b c (Å): 5.2424 5.2424 4.9231
angles (deg): 90.00 90.00 90.00
With the nearest neighbours (Å) after each atom.
Fractional positions:
Sc  0.0000  0.0000  0.0000  2 Pd 2.46, 4 Si 2.62
Si  0.0000  0.5000  0.0000  2 Sc 2.62
Si  0.5000  0.0000  0.0000  2 Sc 2.62
Pd  0.0000  0.0000  0.5000  2 Sc 2.46
I  0.5000  0.5000  0.5000  8 Si 3.60, 4 Pd 3.71

(12)
A plane-wave DFT calculation with GGA-PBE was carried out for a relaxed Sr2ScPdI crystal.

* E: -3.007 eV per atom
* uncorrected formation energy: 1.4 eV/f.u.

a b c (Å): 6.1175 6.1175 5.2674
angles (deg): 90.00 90.00 90.00
With the nearest neighbours (Å) after each atom.
Fractional positions:
Sr  0.0000  0.5000  0.0000  2 I 3.06
Sr  0.5000  0.0000  0.0000  2 I 3.06
Sc  0.0000  0.0000  0.5000  2 I 2.63
Pd  0.5000  0.5000  0.5000  8 Sr 4.04, 4 Sc 4.33
I  0.0000  0.0000  0.0000  2 Sc 2.63

(13)
A plane-wave DFT calculation with GGA-PBE was carried out for a relaxed ScTlPd2I crystal.

* E: -3.639 eV per atom
* uncorrected formation energy: 2.4 eV/f.u.

a b c (Å): 5.1152 5.1152 5.4913
angles (deg): 90.00 90.00 90.00
With the nearest neighbours (Å) after each atom.
Fractional positions:
Sc  0.0000  0.0000  0.0000  2 Tl 2.75
Tl  0.0000  0.0000  0.5000  4 Pd 2.56, 2 Sc 2.75
Pd  0.0000  0.5000  0.5000  2 Tl 2.56
Pd  0.5000  0.0000  0.5000  2 Tl 2.56
I  0.5000  0.5000  0.0000  4 Sc 3.62, 8 Pd 3.75

(14)
A plane-wave DFT calculation with GGA-PBE was carried out for a relaxed Pd2SeI crystal.

* offset from the most stable computed form: 0.000 eV/atom
* E: -3.918 eV per atom
* uncorrected formation energy: -0.3 eV/f.u.

a b c (Å): 7.2071 7.2071 7.2071
angles (deg): 34.38 34.38 34.38
With the nearest neighbours (Å) after each atom.
Fractional positions:
Pd  0.1317  0.1317  0.1317  3 Se 2.56, 1 I 2.68, 3 Pd 2.84
Pd  0.8683  0.8683  0.8683  3 Se 2.56, 1 I 2.68, 3 Pd 2.84
Se  0.5000  0.5000  0.5000  6 Pd 2.56
I  0.0000  0.0000  0.0000  2 Pd 2.68

(15)
A plane-wave DFT calculation with GGA-PBE was carried out for a relaxed PdSeI3 crystal.

* offset from the most stable computed form: 0.474 eV/atom
* E: -2.292 eV per atom
* uncorrected formation energy: 1.9 eV/f.u.

a b c (Å): 5.5049 5.5049 5.5049
angles (deg): 90.00 90.00 90.00
With the nearest neighbours (Å) after each atom.
Fractional positions:
Pd  0.0000  0.0000  0.0000  6 I 2.75
Se  0.5000  0.5000  0.5000  12 I 3.89
I  0.0000  0.0000  0.5000  2 Pd 2.75
I  0.0000  0.5000  0.0000  2 Pd 2.75
I  0.5000  0.0000  0.0000  2 Pd 2.75